# 1
First-principles (meta-GGA SCAN) data for TiBOsPb2 at its PBEsol-relaxed geometry, as listed in Alexandria.

- Uncorrected energy: -240.3 eV per cell
- ΔE_f: 1.327 eV/atom

```
data_TiBOsPb2
_chemical_formula_sum 'Ti1 B1 Os1 Pb2'
_space_group_name_H-M_alt 'P 4/m m m'
_space_group_IT_number 123
_space_group_name_Hall '-P 4 2'
_cell_length_a 5.1501
_cell_length_b 5.1501
_cell_length_c 4.6972
_cell_angle_alpha 90.00
_cell_angle_beta 90.00
_cell_angle_gamma 90.00
loop_
_atom_site_label
_atom_site_fract_x
_atom_site_fract_y
_atom_site_fract_z
_atom_site_occupancy
Ti1 0.0000 0.0000 0.0000 1
B1 0.5000 0.5000 0.0000 1
Os1 0.0000 0.0000 0.5000 1
Pb1 0.0000 0.5000 0.5000 1
```

# 2
First-principles (meta-GGA SCAN) data for MnAl2Co at its PBEsol-relaxed geometry, as listed in Alexandria.

- Uncorrected energy: -202.7 eV per cell
- ΔE_f: 0.099 eV/atom

```
data_MnAl2Co
_chemical_formula_sum 'Mn4 Al8 Co4'
_space_group_name_H-M_alt 'I -4 2 d'
_space_group_IT_number 122
_space_group_name_Hall 'I -4 2bw'
_cell_length_a 6.5099
_cell_length_b 6.5099
_cell_length_c 5.1675
_cell_angle_alpha 90.00
_cell_angle_beta 90.00
_cell_angle_gamma 90.00
loop_
_atom_site_label
_atom_site_fract_x
_atom_site_fract_y
_atom_site_fract_z
_atom_site_occupancy
Mn1 0.0000 0.0000 0.0000 1
Al1 0.2290 0.7500 0.6250 1
Co1 0.0000 0.0000 0.5000 1
```

# 3
First-principles (meta-GGA SCAN) data for FeBRh3 at its PBEsol-relaxed geometry, as listed in Alexandria.

- Excess energy over the best structure of this formula in the dataset: 2117 meV per atom
- Uncorrected energy: -117.1 eV per cell
- ΔE_f: 1.959 eV/atom

```
data_FeBRh3
_chemical_formula_sum 'Fe1 B1 Rh3'
_space_group_name_H-M_alt 'P m -3 m'
_space_group_IT_number 221
_space_group_name_Hall '-P 4 2 3'
_cell_length_a 4.3029
_cell_length_b 4.3029
_cell_length_c 4.3029
_cell_angle_alpha 90.00
_cell_angle_beta 90.00
_cell_angle_gamma 90.00
loop_
_atom_site_label
_atom_site_fract_x
_atom_site_fract_y
_atom_site_fract_z
_atom_site_occupancy
Fe1 0.0000 0.0000 0.0000 1
B1 0.5000 0.5000 0.5000 1
Rh1 0.0000 0.0000 0.5000 1
```

- Which of these has the lowest ΔE_f?
  MnAl2Co

- Which formula does entry 1 have?
  TiBOsPb2

- The highest ΔE_f belongs to which entry?
  FeBRh3

- Number 3 is which compound?
  FeBRh3